No. 1
The following is a GGA-PBE calculation of a relaxed structure of V2IrOs, from Alexandria.

a b c (Å): 5.5353 5.5353 10.7435
angles (deg): 90.00 90.00 90.00
Closest atoms and distances in Å follow each position.
Sites, in units of the cell vectors:
V 0.2489 0.2500 0.1250  2 Os 2.37, 2 Ir 2.38
V 0.2500 0.7489 0.3750  2 Os 2.37, 2 Ir 2.38
V 0.2500 0.7511 0.8750  2 Os 2.37, 2 Ir 2.38
V 0.2511 0.2500 0.6250  2 Os 2.37, 2 Ir 2.38
V 0.7489 0.7500 0.6250  2 Os 2.37, 2 Ir 2.38
V 0.7500 0.2489 0.8750  2 Os 2.37, 2 Ir 2.38
V 0.7500 0.2511 0.3750  2 Os 2.37, 2 Ir 2.38
V 0.7511 0.7500 0.1250  2 Os 2.37, 2 Ir 2.38
Ir 0.0000 0.0000 0.5000  4 V 2.38
Ir 0.0000 0.5000 0.7500  4 V 2.38
Ir 0.5000 0.0000 0.2500  4 V 2.38
Ir 0.5000 0.5000 0.0000  4 V 2.38
Os 0.0000 0.0000 0.0000  4 V 2.37
Os 0.0000 0.5000 0.2500  4 V 2.37
Os 0.5000 0.0000 0.7500  4 V 2.37
Os 0.5000 0.5000 0.5000  4 V 2.37

Output
Magnetization: 0.000 μB per formula unit
Mass density: 9.77 g/cm³
Energy relative to the elements: 971 meV per atom
Final energy: -8.61 eV per atom

No. 2
The following is a GGA-PBE calculation of a relaxed structure of Tc2MoRu, from Alexandria.

a b c (Å): 2.7422 2.7422 27.2648
angles (deg): 90.00 90.00 120.00
Closest atoms and distances in Å follow each position.
Sites, in units of the cell vectors:
Tc 0.0000 0.0000 0.0000  9 Tc 2.67-2.74, 3 Mo 2.87
Tc 0.0000 0.0000 0.2543  9 Tc 2.67-2.74, 3 Ru 2.81
Tc 0.3333 0.6667 0.6667  9 Tc 2.67-2.74, 3 Mo 2.87
Tc 0.3333 0.6667 0.9210  9 Tc 2.67-2.74, 3 Ru 2.81
Tc 0.6667 0.3333 0.3333  9 Tc 2.67-2.74, 3 Mo 2.87
Tc 0.6667 0.3333 0.5877  9 Tc 2.67-2.74, 3 Ru 2.81
Mo 0.0000 0.0000 0.7547  3 Ru 2.72, 6 Mo 2.74, 3 Tc 2.87
Mo 0.3333 0.6667 0.4214  3 Ru 2.72, 6 Mo 2.74, 3 Tc 2.87
Mo 0.6667 0.3333 0.0880  3 Ru 2.72, 6 Mo 2.74, 3 Tc 2.87
Ru 0.0000 0.0000 0.5027  3 Mo 2.72, 6 Ru 2.74, 3 Tc 2.81
Ru 0.3333 0.6667 0.1694  3 Mo 2.72, 6 Ru 2.74, 3 Tc 2.81
Ru 0.6667 0.3333 0.8360  3 Mo 2.72, 6 Ru 2.74, 3 Tc 2.81

Output
Magnetization: 0.000 μB per formula unit
Mass density: 11.03 g/cm³
Energy relative to the elements: 104 meV per atom
Distance to the lowest polymorph of the same formula: 88 meV per atom
Final energy: -10.11 eV per atom

No. 3
The following is a GGA-PBE calculation of a relaxed structure of CaBeCl2, from Alexandria.

a b c (Å): 3.4083 3.4071 10.2333
angles (deg): 90.00 91.28 90.00
Closest atoms and distances in Å follow each position.
Sites, in units of the cell vectors:
Ca 0.0000 0.0000 0.0000  8 Cl 2.88
Be 0.0000 0.0000 0.5000  4 Be 3.41
Cl 0.4893 0.5000 0.8462  4 Ca 2.88, 1 Cl 3.15
Cl 0.5107 0.5000 0.1538  4 Ca 2.88, 1 Cl 3.15

Output
Magnetization: 0.000 μB per formula unit
Mass density: 1.68 g/cm³
Distance to the lowest polymorph of the same formula: 276 meV per atom
Final energy: -3.13 eV per atom

No. 4
The following is a GGA-PBE calculation of a relaxed structure of Pr2MnCd, from Alexandria.

a b c (Å): 3.7139 3.7139 7.9175
angles (deg): 90.00 90.00 90.00
Closest atoms and distances in Å follow each position.
Sites, in units of the cell vectors:
Pr 0.0000 0.0000 0.2318  4 Mn 3.20, 4 Cd 3.38
Pr 0.0000 0.0000 0.7682  4 Mn 3.20, 4 Cd 3.38
Mn 0.5000 0.5000 0.0000  8 Pr 3.20
Cd 0.5000 0.5000 0.5000  8 Pr 3.38, 4 Cd 3.71

Output
Magnetization: 3.024 μB per formula unit
Mass density: 6.83 g/cm³
Energy relative to the elements: -3 meV per atom
Distance to the lowest polymorph of the same formula: 0 meV per atom
Final energy: -4.91 eV per atom